(1)
Compound: PrErZnSi
Source: Alexandria
Functional: PBE-GGA
Structure: optimized geometry

* DOS(E_F): 1.6 states/eV/f.u.
* total magnetic moment: 0.00 μB/cell
* energy relative to the elements, uncorrected: -425 meV per atom
* crystal system: cubic

Cell lengths 7.1628, 7.1628, 7.1628 Å; angles 90.00, 90.00, 90.00 degrees
Space group F-43m (No. 216)
Inequivalent atoms, fractional coordinates:
Pr (0.0000, 0.0000, 0.0000) (multiplicity 4)
Er (0.0000, 0.0000, 0.5000) (multiplicity 4)
Zn (0.2500, 0.2500, 0.7500) (multiplicity 4)
Si (0.2500, 0.2500, 0.2500) (multiplicity 4)

***

(2)
Compound: Pr3SbCl3
Source: Alexandria
Functional: PBE-GGA
Structure: optimized geometry

* DOS(E_F): 3.1 states/eV/f.u.
* total magnetic moment: 0.00 μB/cell
* energy relative to the elements, uncorrected: -1573 meV per atom
* crystal system: trigonal

Cell lengths 7.3967, 7.3967, 30.5525 Å; angles 90.00, 90.00, 120.00 degrees
Space group R-3 (No. 148, hexagonal axes)
Inequivalent atoms, fractional coordinates:
Pr (0.9999, 0.3322, 0.0594) (multiplicity 18)
Sb (0.0000, 0.0000, 0.3333) (multiplicity 6)
Cl (0.0000, 0.3343, 0.8880) (multiplicity 18)

***

(3)
Compound: La2CeAs3Rh12
Source: Alexandria
Functional: PBE-GGA
Structure: optimized geometry

* DOS(E_F): 16.9 states/eV/f.u.
* total magnetic moment: 0.00 μB/cell
* E_form: -0.36 eV/atom
* crystal system: trigonal

Cell lengths 9.1121, 9.1121, 13.2066 Å; angles 90.00, 90.00, 120.00 degrees
Space group R-3m (No. 166, hexagonal axes)
Inequivalent atoms, fractional coordinates:
La (0.0000, 0.0000, 0.1387) (multiplicity 6)
Ce (0.0000, 0.0000, 0.5000) (multiplicity 3)
As (0.0000, 0.5000, 0.0000) (multiplicity 9)
Rh (0.0049, 0.5025, 0.8170) (multiplicity 18)
Rh (0.0175, 0.5088, 0.3835) (multiplicity 18)

***

(4)
Compound: KSrTe2
Source: Alexandria
Functional: PBE-GGA
Structure: optimized geometry

* DOS(E_F): 0.7 states/eV/f.u.
* total magnetic moment: 0.00 μB/cell
* energy relative to the elements, uncorrected: -1103 meV per atom
* crystal system: orthorhombic

Cell lengths 3.8026, 4.5519, 18.1992 Å; angles 90.00, 90.00, 90.00 degrees
Space group Imm2 (No. 44)
Inequivalent atoms, fractional coordinates:
K (0.0000, 0.0000, 0.0000) (multiplicity 2)
Sr (0.0000, 0.5000, 0.7442) (multiplicity 2)
Te (0.0000, 0.0000, 0.6093) (multiplicity 2)
Te (0.0000, 0.5000, 0.3331) (multiplicity 2)

***

(5)
Compound: Pa3MnTl3Se8
Source: Alexandria
Functional: PBE-GGA
Structure: optimized geometry

* DOS(E_F): 15.9 states/eV/f.u.
* total magnetic moment: 27.33 μB/cell
* energy relative to the elements, uncorrected: -933 meV per atom
* crystal system: trigonal

Cell lengths 8.1836, 8.1836, 23.9210 Å; angles 90.00, 90.00, 120.00 degrees
Space group R-3m (No. 166, hexagonal axes)
Inequivalent atoms, fractional coordinates:
Pa (0.0000, 0.5000, 0.0000) (multiplicity 9)
Mn (0.0000, 0.0000, 0.0000) (multiplicity 3)
Tl (0.0000, 0.5000, 0.5000) (multiplicity 9)
Se (0.0000, 0.0000, 0.2637) (multiplicity 6)
Se (0.0108, 0.5054, 0.7324) (multiplicity 18)

***

(6)
Compound: KAcSn
Source: Alexandria
Functional: PBE-GGA
Structure: optimized geometry

* DOS(E_F): 0.4 states/eV/f.u.
* total magnetic moment: 0.00 μB/cell
* E_form: -0.23 eV/atom
* crystal system: cubic

Cell lengths 8.0851, 8.0851, 8.0851 Å; angles 90.00, 90.00, 90.00 degrees
Space group F-43m (No. 216)
Inequivalent atoms, fractional coordinates:
K (0.0000, 0.0000, 0.0000) (multiplicity 4)
Ac (0.0000, 0.0000, 0.5000) (multiplicity 4)
Sn (0.2500, 0.2500, 0.2500) (multiplicity 4)

***

(7)
Compound: NbCu2PbN
Source: Alexandria
Functional: PBE-GGA
Structure: optimized geometry

* DOS(E_F): 3.6 states/eV/f.u.
* total magnetic moment: 2.32 μB/cell
* energy relative to the elements, uncorrected: 1816 meV per atom
* crystal system: tetragonal

Cell lengths 4.8575, 4.8575, 4.3095 Å; angles 90.00, 90.00, 90.00 degrees
Space group P4/mmm (No. 123)
Inequivalent atoms, fractional coordinates:
Nb (0.0000, 0.0000, 0.0000) (multiplicity 1)
Cu (0.0000, 0.5000, 0.5000) (multiplicity 2)
Pb (0.5000, 0.5000, 0.5000) (multiplicity 1)
N (0.5000, 0.5000, 0.0000) (multiplicity 1)

***

(8)
Compound: CsLiCo2Br8
Source: Alexandria
Functional: PBE-GGA
Structure: optimized geometry

* DOS(E_F): 11.5 states/eV/f.u.
* total magnetic moment: 24.03 μB/cell
* energy relative to the elements, uncorrected: -731 meV per atom
* crystal system: trigonal

Cell lengths 6.8399, 6.8399, 29.6950 Å; angles 90.00, 90.00, 120.00 degrees
Space group R-3 (No. 148, hexagonal axes)
Inequivalent atoms, fractional coordinates:
Cs (0.0000, 0.0000, 0.0000) (multiplicity 3)
Li (0.0000, 0.0000, 0.5000) (multiplicity 3)
Co (0.0000, 0.0000, 0.2461) (multiplicity 6)
Br (0.0000, 0.0000, 0.3245) (multiplicity 6)
Br (0.0053, 0.3456, 0.8886) (multiplicity 18)

***

(9)
Compound: CuHIr2Pt
Source: Alexandria
Functional: PBE-GGA
Structure: optimized geometry

* DOS(E_F): 4.3 states/eV/f.u.
* total magnetic moment: 0.00 μB/cell
* crystal system: tetragonal

Cell lengths 3.8887, 3.8887, 3.9627 Å; angles 90.00, 90.00, 90.00 degrees
Space group P4/mmm (No. 123)
Inequivalent atoms, fractional coordinates:
Cu (0.0000, 0.0000, 0.0000) (multiplicity 1)
H (0.0000, 0.0000, 0.5000) (multiplicity 1)
Ir (0.0000, 0.5000, 0.5000) (multiplicity 2)
Pt (0.5000, 0.5000, 0.0000) (multiplicity 1)

***

(10)
Compound: Pr2TmTe3
Source: Alexandria
Functional: PBE-GGA
Structure: optimized geometry

* DOS(E_F): 3.4 states/eV/f.u.
* total magnetic moment: 0.00 μB/cell
* energy relative to the elements, uncorrected: -1350 meV per atom
* crystal system: orthorhombic

Cell lengths 4.4196, 6.2833, 13.5353 Å; angles 90.00, 90.00, 90.00 degrees
Space group Immm (No. 71)
Inequivalent atoms, fractional coordinates:
Pr (0.0000, 0.0000, 0.1759) (multiplicity 4)
Tm (0.0000, 0.0000, 0.5000) (multiplicity 2)
Te (0.0000, 0.5000, 0.1535) (multiplicity 4)
Te (0.0000, 0.5000, 0.5000) (multiplicity 2)

***

(11)
Compound: Ce2TlS4
Source: Alexandria
Functional: PBE-GGA
Structure: optimized geometry

* DOS(E_F): 9.4 states/eV/f.u.
* total magnetic moment: 4.13 μB/cell
* energy relative to the elements, uncorrected: -1514 meV per atom
* crystal system: tetragonal

Cell lengths 8.6910, 8.6910, 8.7029 Å; angles 90.00, 90.00, 90.00 degrees
Space group I-42d (No. 122)
Inequivalent atoms, fractional coordinates:
Ce (0.1355, 0.2500, 0.1250) (multiplicity 8)
Tl (0.0000, 0.0000, 0.5000) (multiplicity 4)
S (0.0789, 0.1639, 0.8217) (multiplicity 16)

***

(12)
Compound: Ba2InAgRh
Source: Alexandria
Functional: PBE-GGA
Structure: optimized geometry

* DOS(E_F): 3.2 states/eV/f.u.
* total magnetic moment: 0.00 μB/cell
* E_form: -0.22 eV/atom
* crystal system: tetragonal

Cell lengths 5.9909, 5.9909, 5.1709 Å; angles 90.00, 90.00, 90.00 degrees
Space group P4/mmm (No. 123)
Inequivalent atoms, fractional coordinates:
Ba (0.0000, 0.5000, 0.0000) (multiplicity 2)
In (0.0000, 0.0000, 0.5000) (multiplicity 1)
Ag (0.5000, 0.5000, 0.5000) (multiplicity 1)
Rh (0.0000, 0.0000, 0.0000) (multiplicity 1)

***

Number 1: final energy -70.9 eV per cell, volume 22.97 Å³ per atom. Number 2: final energy -210.1 eV per cell, volume 34.47 Å³ per atom. Number 3: final energy -373.4 eV per cell, volume 17.59 Å³ per atom. Number 4: final energy -27.0 eV per cell, volume 39.38 Å³ per atom. Number 5: final energy -259.9 eV per cell, volume 30.83 Å³ per atom. Number 6: final energy -39.5 eV per cell, volume 44.04 Å³ per atom. Number 7: final energy -21.2 eV per cell, volume 20.34 Å³ per atom. Number 8: final energy -117.4 eV per cell, volume 33.42 Å³ per atom. Number 9: final energy -30.4 eV per cell, volume 11.98 Å³ per atom. Number 10: final energy -63.1 eV per cell, volume 31.32 Å³ per atom. Number 11: final energy -165.4 eV per cell, volume 23.48 Å³ per atom. Number 12: final energy -17.9 eV per cell, volume 37.12 Å³ per atom.